VASP calculation (meta-GGA SCAN) on a crystal of SrNi2P4 relaxed with PBEsol.

Lattice parameters (Å, degrees): 5.150 5.384 9.766 82.76 74.71 61.43
Fractional coordinates of all 14 atoms:
Sr  0.000  0.000  0.000
Sr  0.750  0.500  0.500
Ni  0.620  0.000  0.760
Ni  0.380  0.000  0.240
Ni  0.130  0.500  0.740
Ni  0.370  0.500  0.260
P  0.689  0.615  0.886
P  0.191  0.385  0.114
P  0.696  0.615  0.114
P  0.424  0.385  0.886
P  0.061  0.885  0.614
P  0.559  0.115  0.386
P  0.054  0.885  0.386
P  0.326  0.115  0.614

Calculated values
size of the total moment: 0.0000 μB/atom
formation enthalpy at 0 K: -0.71 eV per atom
raw total energy: -14.451 eV/atom
N(E_F): 4.66 states/eV/cell